Model one:
The following is a DFT calculation (PBE) of NdTm3Ni8 after structural relaxation.

a = 5.0541 Å, b = 5.0541 Å, c = 24.8502 Å
α = 90.00°, β = 90.00°, γ = 120.00°
Space group R3m (No. 160, hexagonal axes)
Inequivalent atoms, fractional coordinates:
Nd  0.0000  0.0000  0.0000
Tm  0.0000  0.0000  0.1256
Tm  0.0000  0.0000  0.4995
Tm  0.0000  0.0000  0.6235
Ni  0.0000  0.0000  0.3118
Ni  0.0000  0.0000  0.8123
Ni  0.0007  0.5003  0.0639
Ni  0.1684  0.3367  0.8942

Properties
- V (Å³/f.u.) = 183.2
- spin magnetization (μB per cell) = 0.00

=====

Model two:
The following is a DFT calculation (PBE) of NdTm3Ni8 after structural relaxation.

a = 5.0751 Å, b = 5.0751 Å, c = 8.2676 Å
α = 90.00°, β = 90.00°, γ = 120.00°
Space group P3m1 (No. 156)
Inequivalent atoms, fractional coordinates:
Nd  0.0000  0.0000  0.0000
Tm  0.0000  0.0000  0.3762
Tm  0.6667  0.3333  0.4965
Tm  0.6667  0.3333  0.8673
Ni  0.9998  0.4999  0.1892
Ni  0.1680  0.3359  0.6807
Ni  0.3333  0.6667  0.4331
Ni  0.3333  0.6667  0.9329

Properties
- V (Å³/f.u.) = 184.4
- spin magnetization (μB per cell) = 0.00

=====

Of them, model one has the highest stability.

=====

Model one:
The following is a DFT calculation (PBE) of NdTmNi after structural relaxation.

a = 3.7015 Å, b = 6.3242 Å, c = 6.9781 Å
α = 95.37°, β = 105.36°, γ = 107.01°
Space group P-1 (No. 2)
Inequivalent atoms, fractional coordinates:
Nd  0.0866  0.2529  0.4212
Tm  0.1976  0.7822  0.1130
Ni  0.4539  0.5754  0.8321

Properties
- V (Å³/f.u.) = 74.0
- spin magnetization (μB per cell) = 0.00

=====

Model two:
The following is a DFT calculation (PBE) of NdTmNi after structural relaxation.

a = 9.5375 Å, b = 6.4148 Å, c = 5.7160 Å
α = 90.00°, β = 122.66°, γ = 90.00°
Space group C2/m (No. 12)
Inequivalent atoms, fractional coordinates:
Nd  0.2500  0.2500  0.0000
Tm  0.1257  0.0000  0.3844
Ni  0.0586  0.5000  0.3576

Properties
- V (Å³/f.u.) = 73.6
- spin magnetization (μB per cell) = 0.00

=====

Model three:
The following is a DFT calculation (PBE) of NdTmNi after structural relaxation.

a = 4.5181 Å, b = 4.5181 Å, c = 4.2039 Å
α = 90.00°, β = 90.00°, γ = 120.00°
Space group P3m1 (No. 156)
Inequivalent atoms, fractional coordinates:
Nd  0.0000  0.0000  0.0000
Tm  0.6667  0.3333  0.4913
Ni  0.3333  0.6667  0.6604

Properties
- V (Å³/f.u.) = 74.3
- spin magnetization (μB per cell) = 0.00

=====

Model four:
The following is a DFT calculation (PBE) of NdTmNi after structural relaxation.

a = 6.7737 Å, b = 6.7737 Å, c = 6.7737 Å
α = 90.00°, β = 90.00°, γ = 90.00°
Space group F-43m (No. 216)
Inequivalent atoms, fractional coordinates:
Nd  0.0000  0.0000  0.0000
Tm  0.0000  0.0000  0.5000
Ni  0.2500  0.2500  0.2500

Properties
- V (Å³/f.u.) = 77.7
- spin magnetization (μB per cell) = 0.00

=====

Of them, model one has the highest stability.

=====

Model one:
The following is a DFT calculation (PBE) of NdTmNi after structural relaxation.

a = 7.0481 Å, b = 4.8577 Å, c = 8.4384 Å
α = 90.00°, β = 90.00°, γ = 90.00°
Space group Pnma (No. 62)
Inequivalent atoms, fractional coordinates:
Nd  0.0219  0.2500  0.1695
Tm  0.1371  0.2500  0.5848
Ni  0.2437  0.7500  0.4149

Properties
- V (Å³/f.u.) = 72.2
- spin magnetization (μB per cell) = 0.00

=====

Model two:
The following is a DFT calculation (PBE) of NdTmNi after structural relaxation.

a = 3.4347 Å, b = 3.4347 Å, c = 12.4974 Å
α = 90.00°, β = 90.00°, γ = 90.00°
Space group I4mm (No. 107)
Inequivalent atoms, fractional coordinates:
Nd  0.0000  0.0000  0.0000
Tm  0.0000  0.0000  0.2641
Ni  0.0000  0.0000  0.6481

Properties
- V (Å³/f.u.) = 73.7
- spin magnetization (μB per cell) = 0.00

=====

Of them, model one has the highest stability.